Below is a relaxed structure of Sr3Ca3Ag4, with properties calculated at the PBE-GGA level.

abc: 4.5602 8.3918 8.3918
angles: 89.89 90.00 90.00
Sites, in units of the cell vectors:
Sr: 0.5000 0.8342 0.1658
Sr: 0.5000 0.3304 0.3325
Sr: 0.5000 0.6675 0.6696
Ca: 0.0000 0.4955 0.9980
Ca: 0.0000 0.0020 0.5045
Ca: 0.5000 0.1685 0.8315
Ag: 0.0000 0.6240 0.3760
Ag: 0.0000 0.3669 0.6331
Ag: 0.0000 0.8822 0.8713
Ag: 0.0000 0.1287 0.1178

D(E_F) ... 0.709 states/eV per atom
Density ... 4.212 g cm⁻³
Uncorrected energy ... -2.523 eV per atom
Energy of formation from the pure elements ... -0.2777 eV/atom